Entry 1:
The following is a DFT calculation (GGA-PBE) of crystalline Sm2Dy4Y at its relaxed geometry.

Cell and atoms, written as POSCAR:
```
Sm2Dy4Y
1.0
6.1189 0.0000 0.0000
0.0000 6.6075 0.0000
-2.8223 0.0000 11.2311
Sm Dy Y
4 8 2
direct
0.1010 0.2500 0.4918
0.2101 0.2500 0.0715
0.7899 0.7500 0.9285
0.8990 0.7500 0.5082
0.1500 0.0063 0.7884
0.1500 0.4937 0.7884
0.3517 0.7500 0.0551
0.4766 0.7500 0.6471
0.5234 0.2500 0.3529
0.6483 0.2500 0.9449
0.8500 0.5063 0.2116
0.8500 0.9937 0.2116
0.3537 0.7500 0.3434
0.6463 0.2500 0.6566
```

## Properties
* offset from the most stable computed form: 0.086 eV per atom
* SG: P2_1/m
* crystal system: monoclinic
* N(E_F): 1.701 states/eV/atom

Entry 2:
The following is a DFT calculation (GGA-PBE) of crystalline Sm5DyY5 at its relaxed geometry.

Cell and atoms, written as POSCAR:
```
Sm5DyY5
1.0
9.4884 -3.0107 0.0000
9.4884 3.0107 0.0000
-2.5175 0.0000 6.5238
Sm Dy Y
5 1 5
direct
0.0000 0.0000 0.0000
0.3300 0.3300 0.3273
0.3758 0.3758 0.8727
0.6242 0.6242 0.1273
0.6700 0.6700 0.6727
0.0000 0.0000 0.5000
0.1770 0.1770 0.4299
0.1777 0.1777 0.9229
0.5000 0.5000 0.5000
0.8223 0.8223 0.0771
0.8230 0.8230 0.5701
```

## Properties
* offset from the most stable computed form: 0.000 eV per atom
* SG: C2/m
* crystal system: monoclinic
* N(E_F): 1.763 states/eV/atom

Entry 3:
The following is a DFT calculation (GGA-PBE) of crystalline Sm3DyY3 at its relaxed geometry.

Cell and atoms, written as POSCAR:
```
Sm3DyY3
1.0
3.1185 1.8005 14.3527
-3.1185 1.8005 14.3527
0.0000 -3.6009 14.3527
Sm Dy Y
6 2 6
direct
0.1321 0.4630 0.8008
0.1992 0.8679 0.5370
0.4630 0.8008 0.1321
0.5370 0.1992 0.8679
0.8008 0.1321 0.4630
0.8679 0.5370 0.1992
0.3333 0.3333 0.3333
0.6667 0.6667 0.6667
0.0652 0.7321 0.3988
0.2679 0.6012 0.9348
0.3988 0.0652 0.7321
0.6012 0.9348 0.2679
0.7321 0.3988 0.0652
0.9348 0.2679 0.6012
```

## Properties
* offset from the most stable computed form: 0.000 eV per atom
* SG: R-3
* crystal system: trigonal
* N(E_F): 1.565 states/eV/atom

Entry 4:
The following is a DFT calculation (GGA-PBE) of crystalline SmDyY4 at its relaxed geometry.

Cell and atoms, written as POSCAR:
```
SmDyY4
1.0
4.5554 0.0000 0.0000
0.0000 4.5554 0.0000
0.0000 0.0000 11.0582
Sm Dy Y
1 1 4
direct
0.0000 0.0000 0.0000
0.5000 0.5000 0.5000
0.0000 0.5000 0.2522
0.0000 0.5000 0.7478
0.5000 0.0000 0.2522
0.5000 0.0000 0.7478
```

## Properties
* offset from the most stable computed form: 0.666 eV per atom
* SG: P4/mmm
* crystal system: tetragonal
* N(E_F): 2.254 states/eV/atom

Entry 5:
The following is a DFT calculation (GGA-PBE) of crystalline Sm6DyY5 at its relaxed geometry.

Cell and atoms, written as POSCAR:
```
Sm6DyY5
1.0
3.1210 -5.4026 0.0000
3.1210 5.4026 0.0000
-2.0694 0.0000 11.6796
Sm Dy Y
6 1 5
direct
0.0833 0.4159 0.7497
0.2493 0.2493 0.2504
0.4159 0.0833 0.7497
0.5841 0.9167 0.2503
0.7507 0.7507 0.7496
0.9167 0.5841 0.2503
0.0000 0.0000 0.5000
0.1667 0.8333 0.0000
0.3333 0.6667 0.5000
0.5000 0.5000 0.0000
0.6667 0.3333 0.5000
0.8333 0.1667 0.0000
```

## Properties
* SG: C2/m
* crystal system: monoclinic
* N(E_F): 1.268 states/eV/atom

Entry 6:
The following is a DFT calculation (GGA-PBE) of crystalline Sm6DyY at its relaxed geometry.

Cell and atoms, written as POSCAR:
```
Sm6DyY
1.0
5.1054 0.0000 0.0000
0.0000 5.1054 0.0000
0.0000 0.0000 10.2121
Sm Dy Y
6 1 1
direct
0.0000 0.0000 0.0000
0.0000 0.0000 0.5000
0.0000 0.5000 0.2493
0.0000 0.5000 0.7507
0.5000 0.0000 0.2493
0.5000 0.0000 0.7507
0.5000 0.5000 0.0000
0.5000 0.5000 0.5000
```

## Properties
* offset from the most stable computed form: 0.003 eV per atom
* SG: P4/mmm
* crystal system: tetragonal
* N(E_F): 1.608 states/eV/atom

Entry 7:
The following is a DFT calculation (GGA-PBE) of crystalline Sm4Dy4Y3 at its relaxed geometry.

Cell and atoms, written as POSCAR:
```
Sm4Dy4Y3
1.0
-1.7900 2.5330 19.7046
1.7900 -2.5330 19.7046
1.7900 2.5330 -19.7046
Sm Dy Y
4 4 3
direct
0.0459 0.0459 0.0000
0.3177 0.3177 0.0000
0.6823 0.6823 0.0000
0.9541 0.9541 0.0000
0.2276 0.2276 0.0000
0.4088 0.4088 0.0000
0.5912 0.5912 0.0000
0.7724 0.7724 0.0000
0.1364 0.1364 0.0000
0.5000 0.5000 0.0000
0.8636 0.8636 0.0000
```

## Properties
* offset from the most stable computed form: 0.000 eV per atom
* SG: Immm
* crystal system: orthorhombic
* N(E_F): 1.262 states/eV/atom

Entry 8:
The following is a DFT calculation (GGA-PBE) of crystalline Sm7Dy3Y at its relaxed geometry.

Cell and atoms, written as POSCAR:
```
Sm7Dy3Y
1.0
6.3865 -5.6269 0.0000
6.3865 5.6269 0.0000
-2.6922 0.0000 5.2178
Sm Dy Y
7 3 1
direct
0.0000 0.0000 0.0000
0.0975 0.5106 0.3044
0.2915 0.2915 0.7936
0.4894 0.9025 0.6956
0.5106 0.0975 0.3044
0.7085 0.7085 0.2064
0.9025 0.4894 0.6956
0.2951 0.7049 0.0000
0.5000 0.5000 0.5000
0.7049 0.2951 0.0000
0.0000 0.0000 0.5000
```

## Properties
* offset from the most stable computed form: 0.118 eV per atom
* SG: C2/m
* crystal system: monoclinic
* N(E_F): 1.436 states/eV/atom

Entry 9:
The following is a DFT calculation (GGA-PBE) of crystalline SmDy7Y3 at its relaxed geometry.

Cell and atoms, written as POSCAR:
```
SmDy7Y3
1.0
6.9988 0.0000 0.0000
0.0000 5.5492 0.0000
-3.4739 0.0000 9.2816
Sm Dy Y
1 7 3
direct
0.0000 0.0000 0.0000
0.0000 0.0000 0.5000
0.1463 0.5000 0.7918
0.3228 0.5000 0.1424
0.4175 0.0000 0.3310
0.5825 0.0000 0.6690
0.6772 0.5000 0.8576
0.8537 0.5000 0.2082
0.2784 0.5000 0.4994
0.5000 0.0000 0.0000
0.7216 0.5000 0.5006
```

## Properties
* offset from the most stable computed form: 0.000 eV per atom
* SG: P2/m
* crystal system: monoclinic
* N(E_F): 1.614 states/eV/atom

Entry 10:
The following is a DFT calculation (GGA-PBE) of crystalline Sm5DyY5 at its relaxed geometry.

Cell and atoms, written as POSCAR:
```
Sm5DyY5
1.0
6.1457 0.0000 0.0000
-3.0728 5.3223 0.0000
0.0000 0.0000 11.4862
Sm Dy Y
5 1 5
direct
0.0000 0.0000 0.2362
0.0000 0.0000 0.7638
0.3398 0.1699 0.0000
0.8301 0.1699 0.0000
0.8301 0.6602 0.0000
0.3333 0.6667 0.5000
0.0000 0.0000 0.5000
0.3333 0.6667 0.1808
0.3333 0.6667 0.8192
0.6667 0.3333 0.3404
0.6667 0.3333 0.6596
```

## Properties
* offset from the most stable computed form: 0.044 eV per atom
* SG: P-6m2
* crystal system: hexagonal
* N(E_F): 1.805 states/eV/atom

Entry 11:
The following is a DFT calculation (GGA-PBE) of crystalline SmDy4Y8 at its relaxed geometry.

Cell and atoms, written as POSCAR:
```
SmDy4Y8
1.0
3.6583 2.1121 9.0932
-3.6583 2.1121 9.0932
0.0000 -4.2243 9.0932
Sm Dy Y
1 4 8
direct
0.0000 0.0000 0.0000
0.0000 0.0000 0.5000
0.0000 0.5000 0.0000
0.5000 0.0000 0.0000
0.5000 0.5000 0.5000
0.2497 0.2497 0.6967
0.2497 0.6967 0.2497
0.2828 0.2828 0.2828
0.3033 0.7503 0.7503
0.6967 0.2497 0.2497
0.7172 0.7172 0.7172
0.7503 0.3033 0.7503
0.7503 0.7503 0.3033
```

## Properties
* SG: R-3m
* crystal system: trigonal
* N(E_F): 1.239 states/eV/atom

Entry 12:
The following is a DFT calculation (GGA-PBE) of crystalline Sm3DyY2 at its relaxed geometry.

Cell and atoms, written as POSCAR:
```
Sm3DyY2
1.0
8.9384 -3.6231 0.0000
8.9384 3.6231 0.0000
-1.4669 0.0000 6.1055
Sm Dy Y
6 2 4
direct
0.0415 0.2919 0.0255
0.1264 0.8736 0.7500
0.2919 0.0415 0.5255
0.7081 0.9585 0.4745
0.8736 0.1264 0.2500
0.9585 0.7081 0.9745
0.3760 0.6240 0.2500
0.6240 0.3760 0.7500
0.2093 0.4578 0.4708
0.4578 0.2093 0.9708
0.5422 0.7907 0.0292
0.7907 0.5422 0.5292
```

## Properties
* SG: C2/c
* crystal system: monoclinic
* N(E_F): 1.320 states/eV/atom

Entry 13:
The following is a DFT calculation (GGA-PBE) of crystalline SmDyY4 at its relaxed geometry.

Cell and atoms, written as POSCAR:
```
SmDyY4
1.0
5.3892 -3.1125 0.0000
5.3892 3.1125 0.0000
-3.5921 0.0000 11.5719
Sm Dy Y
2 2 8
direct
0.0830 0.9170 0.7500
0.9170 0.0830 0.2500
0.0000 0.5000 0.5000
0.5000 0.0000 0.0000
0.1668 0.6668 0.0002
0.2506 0.4152 0.2501
0.3332 0.8332 0.4998
0.4152 0.2506 0.7501
0.5848 0.7494 0.2499
0.6668 0.1668 0.5002
0.7494 0.5848 0.7499
0.8332 0.3332 0.9998
```

## Properties
* offset from the most stable computed form: 0.000 eV per atom
* SG: C2/c
* crystal system: monoclinic
* N(E_F): 1.405 states/eV/atom

Entry 14:
The following is a DFT calculation (GGA-PBE) of crystalline SmDy2Y at its relaxed geometry.

Cell and atoms, written as POSCAR:
```
SmDy2Y
1.0
11.6284 0.0000 0.0000
0.0000 6.0839 0.0000
0.0000 0.0000 7.2950
Sm Dy Y
4 8 4
direct
0.1230 0.1646 0.0000
0.3770 0.6646 0.5000
0.6230 0.3354 0.0000
0.8770 0.8354 0.5000
0.1215 0.6676 0.7499
0.1221 0.1649 0.4997
0.3779 0.6649 0.9997
0.3785 0.1676 0.2499
0.6215 0.8324 0.7499
0.6221 0.3351 0.4997
0.8779 0.8351 0.9997
0.8785 0.3324 0.2499
0.1201 0.6657 0.2500
0.3799 0.1657 0.7500
0.6201 0.8343 0.2500
0.8799 0.3343 0.7500
```

## Properties
* offset from the most stable computed form: 0.033 eV per atom
* SG: Pna2_1
* crystal system: orthorhombic
* N(E_F): 1.562 states/eV/atom

Entry 15:
The following is a DFT calculation (GGA-PBE) of crystalline Sm2Dy2Y3 at its relaxed geometry.

Cell and atoms, written as POSCAR:
```
Sm2Dy2Y3
1.0
8.7783 -1.7562 0.0000
8.7783 1.7562 0.0000
-4.2097 0.0000 7.5004
Sm Dy Y
2 2 3
direct
0.0659 0.0659 0.4114
0.9341 0.9341 0.5886
0.3516 0.3516 0.1699
0.6484 0.6484 0.8301
0.2880 0.2880 0.7001
0.5000 0.5000 0.0000
0.7120 0.7120 0.2999
```

## Properties
* offset from the most stable computed form: 0.000 eV per atom
* SG: C2/m
* crystal system: monoclinic
* N(E_F): 1.619 states/eV/atom

Entry 16:
The following is a DFT calculation (GGA-PBE) of crystalline Sm4Dy3Y2 at its relaxed geometry.

Cell and atoms, written as POSCAR:
```
Sm4Dy3Y2
1.0
7.6099 -2.5362 0.0000
7.6099 2.5362 0.0000
-2.5202 0.0000 7.6158
Sm Dy Y
4 3 2
direct
0.1664 0.1664 0.0005
0.2775 0.2775 0.6662
0.7225 0.7225 0.3338
0.8336 0.8336 0.9995
0.3893 0.3893 0.3326
0.5000 0.5000 0.0000
0.6107 0.6107 0.6674
0.0550 0.0550 0.3338
0.9450 0.9450 0.6662
```

## Properties
* SG: C2/m
* crystal system: monoclinic
* N(E_F): 1.328 states/eV/atom

Entry 17:
The following is a DFT calculation (GGA-PBE) of crystalline Sm2Dy2Y15 at its relaxed geometry.

Cell and atoms, written as POSCAR:
```
Sm2Dy2Y15
1.0
5.6001 3.2332 5.9529
-5.6001 3.2332 5.9529
0.0000 -6.4665 5.9529
Sm Dy Y
2 2 15
direct
0.0962 0.0962 0.0962
0.9038 0.9038 0.9038
0.3208 0.3208 0.3208
0.6792 0.6792 0.6792
0.0000 0.0000 0.5000
0.0000 0.3015 0.6985
0.0000 0.5000 0.0000
0.0000 0.6985 0.3015
0.1504 0.6277 0.6277
0.3015 0.0000 0.6985
0.3015 0.6985 0.0000
0.3723 0.3723 0.8496
0.3723 0.8496 0.3723
0.5000 0.0000 0.0000
0.6277 0.1504 0.6277
0.6277 0.6277 0.1504
0.6985 0.0000 0.3015
0.6985 0.3015 0.0000
0.8496 0.3723 0.3723
```

## Properties
* SG: R-3m
* crystal system: trigonal
* N(E_F): 1.899 states/eV/atom

Entry 18:
The following is a DFT calculation (GGA-PBE) of crystalline SmDy2Y at its relaxed geometry.

Cell and atoms, written as POSCAR:
```
SmDy2Y
1.0
1.7978 1.0380 11.5479
-1.7978 1.0380 11.5479
0.0000 -2.0759 11.5479
Sm Dy Y
1 2 1
direct
0.0000 0.0000 0.0000
0.5824 0.5824 0.5824
0.7500 0.7500 0.7500
0.1661 0.1661 0.1661
```

## Properties
* offset from the most stable computed form: 0.001 eV per atom
* SG: R3m
* crystal system: trigonal
* N(E_F): 1.465 states/eV/atom

Entry 19:
The following is a DFT calculation (GGA-PBE) of crystalline Sm3Dy5Y at its relaxed geometry.

Cell and atoms, written as POSCAR:
```
Sm3Dy5Y
1.0
7.6277 -5.7025 0.0000
7.6277 5.7025 0.0000
-6.4374 0.0000 7.5936
Sm Dy Y
6 10 2
direct
0.0000 0.0000 0.0000
0.0085 0.0085 0.3120
0.4800 0.4800 0.1399
0.5000 0.5000 0.5000
0.5200 0.5200 0.8601
0.9915 0.9915 0.6880
0.0944 0.5965 0.7509
0.2205 0.2205 0.7262
0.2429 0.7571 0.5000
0.2768 0.2768 0.4608
0.4035 0.9056 0.2491
0.5965 0.0944 0.7509
0.7232 0.7232 0.5392
0.7571 0.2429 0.5000
0.7795 0.7795 0.2738
0.9056 0.4035 0.2491
0.2517 0.2517 0.0982
0.7483 0.7483 0.9018
```

## Properties
* offset from the most stable computed form: 0.356 eV per atom
* SG: C2/m
* crystal system: monoclinic
* N(E_F): 1.403 states/eV/atom

Entry 20:
The following is a DFT calculation (GGA-PBE) of crystalline Sm2Dy15Y2 at its relaxed geometry.

Cell and atoms, written as POSCAR:
```
Sm2Dy15Y2
1.0
5.5977 3.2318 5.8603
-5.5977 3.2318 5.8603
0.0000 -6.4637 5.8603
Sm Dy Y
2 15 2
direct
0.1751 0.1751 0.1751
0.8249 0.8249 0.8249
0.0000 0.5000 0.5000
0.1304 0.1304 0.6493
0.1304 0.6493 0.1304
0.2020 0.5000 0.7980
0.2020 0.7980 0.5000
0.3507 0.8696 0.8696
0.5000 0.0000 0.5000
0.5000 0.2020 0.7980
0.5000 0.5000 0.0000
0.5000 0.7980 0.2020
0.6493 0.1304 0.1304
0.7980 0.2020 0.5000
0.7980 0.5000 0.2020
0.8696 0.3507 0.8696
0.8696 0.8696 0.3507
0.4030 0.4030 0.4030
0.5970 0.5970 0.5970
```

## Properties
* SG: R-3m
* crystal system: trigonal
* N(E_F): 1.871 states/eV/atom

no.,uncorrected energy (Ry/atom),E_form (eV/f.u.)
1,-0.351,0.9
2,-0.385,2.9
3,-0.389,1.1
4,-0.381,4.0
5,-0.399,0.2
6,-0.361,0.1
7,-0.377,0.2
8,-0.338,2.7
9,-0.365,1.7
10,-0.381,3.4
11,-0.408,2.7
12,-0.388,0.0
13,-0.430,0.0
14,-0.371,0.2
15,-0.390,0.9
16,-0.371,0.2
17,-0.425,5.8
18,-0.374,0.1
19,-0.318,4.7
20,-0.333,5.3